(1)
# LaTcCl (PBE-GGA, optimized geometry)
# **ΔE to the lowest computed polymorph**: 1220 meV per atom
# **Final energy**: -0.205 hartree per atom
# **Total magnetization**: 1.9 μB/f.u.
data_LaTcCl
_symmetry_space_group_name_H-M 'P 3 m 1'
_symmetry_Int_Tables_number 156
_cell_length_a 3.6244
_cell_length_b 3.6244
_cell_length_c 6.7631
_cell_angle_alpha 90.00
_cell_angle_beta 90.00
_cell_angle_gamma 120.00
loop_
_symmetry_equiv_pos_as_xyz
'x,y,z'
'-y,x-y,z'
'-x+y,-x,z'
'-y,-x,z'
'-x+y,y,z'
'x,x-y,z'
loop_
_atom_site_label
_atom_site_type_symbol
_atom_site_fract_x
_atom_site_fract_y
_atom_site_fract_z
_atom_site_occupancy
La1 La 0.0000 0.0000 0.0000 1
Tc1 Tc 0.6667 0.3333 0.3158 1
Cl1 Cl 0.3333 0.6667 0.6819 1

(2)
# LaTc2Cl (PBE-GGA, optimized geometry)
# **ΔE to the lowest computed polymorph**: 1051 meV per atom
# **Final energy**: -0.221 hartree per atom
# **Total magnetization**: 0.0 μB/f.u.
data_LaTc2Cl
_symmetry_space_group_name_H-M 'R -3 m'
_symmetry_Int_Tables_number 166
_symmetry_space_group_name_Hall '-R 3 2"'
_cell_length_a 3.2847
_cell_length_b 3.2847
_cell_length_c 24.2672
_cell_angle_alpha 90.00
_cell_angle_beta 90.00
_cell_angle_gamma 120.00
loop_
_atom_site_label
_atom_site_type_symbol
_atom_site_fract_x
_atom_site_fract_y
_atom_site_fract_z
_atom_site_occupancy
La1 La 0.0000 0.0000 0.0000 1
Tc1 Tc 0.0000 0.0000 0.2502 1
Cl1 Cl 0.0000 0.0000 0.5000 1